1.
# Zn9NiIr2

An optimized crystal structure of Zn9NiIr2 (PBE-GGA, Alexandria via LeMat-Bulk).

Structure (CIF):
```
data_Zn9NiIr2
_chemical_formula_sum 'Zn9 Ni1 Ir2'
_cell_length_a 4.773
_cell_length_b 5.952
_cell_length_c 6.158
_cell_angle_alpha 85.04
_cell_angle_beta 83.79
_cell_angle_gamma 83.86
_space_group_name_H-M_alt 'P -1'
_space_group_IT_number 2
_space_group_name_Hall '-P 1'
loop_
_atom_site_label
_atom_site_type_symbol
_atom_site_fract_x
_atom_site_fract_y
_atom_site_fract_z
Zn1 Zn 0.000 0.000 0.000
Zn2 Zn 0.015 0.344 0.669
Zn3 Zn 0.248 0.906 0.579
Zn4 Zn 0.264 0.264 0.243
Zn5 Zn 0.492 0.802 0.184
Ni1 Ni 0.500 0.500 0.500
Ir1 Ir 0.240 0.611 0.911
```

---

2.
# Zn6NiIr (PBE-GGA, optimized geometry)
# ΔE to the lowest computed polymorph: 0.000 eV per atom
data_Zn6NiIr
_chemical_formula_sum 'Zn48 Ni8 Ir8'
_cell_length_a 7.634
_cell_length_b 10.735
_cell_length_c 10.721
_cell_angle_alpha 90.00
_cell_angle_beta 90.00
_cell_angle_gamma 90.00
_space_group_name_H-M_alt 'C m m m'
_space_group_IT_number 65
_space_group_name_Hall '-C 2 2'
loop_
_atom_site_label
_atom_site_type_symbol
_atom_site_fract_x
_atom_site_fract_y
_atom_site_fract_z
Zn1 Zn 0.000 0.000 0.000
Zn2 Zn 0.000 0.000 0.500
Zn3 Zn 0.000 0.248 0.245
Zn4 Zn 0.000 0.500 0.000
Zn5 Zn 0.000 0.500 0.500
Zn6 Zn 0.249 0.126 0.122
Zn7 Zn 0.250 0.125 0.372
Ni1 Ni 0.000 0.000 0.249
Ni2 Ni 0.000 0.244 0.000
Ir1 Ir 0.000 0.246 0.500
Ir2 Ir 0.000 0.500 0.249

---

3.
# Zn5Ni4Ir

An optimized crystal structure of Zn5Ni4Ir (PBE-GGA, Alexandria via LeMat-Bulk).

Structure (CIF):
```
data_Zn5Ni4Ir
_chemical_formula_sum 'Zn5 Ni4 Ir1'
_cell_length_a 2.975
_cell_length_b 2.975
_cell_length_c 14.127
_cell_angle_alpha 90.00
_cell_angle_beta 90.00
_cell_angle_gamma 90.00
_space_group_name_H-M_alt 'P 4/m m m'
_space_group_IT_number 123
_space_group_name_Hall '-P 4 2'
loop_
_atom_site_label
_atom_site_type_symbol
_atom_site_fract_x
_atom_site_fract_y
_atom_site_fract_z
Zn1 Zn 0.000 0.000 0.000
Zn2 Zn 0.000 0.000 0.195
Zn3 Zn 0.000 0.000 0.391
Ni1 Ni 0.500 0.500 0.097
Ni2 Ni 0.500 0.500 0.292
Ir1 Ir 0.500 0.500 0.500
```

---

4.
# Zn3Ni8Ir

An optimized crystal structure of Zn3Ni8Ir (PBE-GGA, Alexandria via LeMat-Bulk).

Structure (CIF):
```
data_Zn3Ni8Ir
_chemical_formula_sum 'Zn6 Ni16 Ir2'
_cell_length_a 6.454
_cell_length_b 6.454
_cell_length_c 8.444
_cell_angle_alpha 90.00
_cell_angle_beta 90.00
_cell_angle_gamma 90.00
_space_group_name_H-M_alt 'I -4 2 m'
_space_group_IT_number 121
_space_group_name_Hall 'I -4 2'
loop_
_atom_site_label
_atom_site_type_symbol
_atom_site_fract_x
_atom_site_fract_y
_atom_site_fract_z
Zn1 Zn 0.000 0.000 0.000
Zn2 Zn 0.000 0.500 0.250
Ni1 Ni 0.132 0.132 0.763
Ni2 Ni 0.244 0.244 0.025
Ir1 Ir 0.000 0.000 0.500
```

---

5.
# ZrZnNiIr2

An optimized crystal structure of ZrZnNiIr2 (PBE-GGA, Alexandria via LeMat-Bulk).

Structure (CIF):
```
data_ZrZnNiIr2
_chemical_formula_sum 'Zr1 Zn1 Ni1 Ir2'
_cell_length_a 4.572
_cell_length_b 4.572
_cell_length_c 4.204
_cell_angle_alpha 90.00
_cell_angle_beta 90.00
_cell_angle_gamma 90.00
_space_group_name_H-M_alt 'P 4/m m m'
_space_group_IT_number 123
_space_group_name_Hall '-P 4 2'
loop_
_atom_site_label
_atom_site_type_symbol
_atom_site_fract_x
_atom_site_fract_y
_atom_site_fract_z
Zr1 Zr 0.000 0.000 0.000
Zn1 Zn 0.500 0.500 0.000
Ni1 Ni 0.500 0.500 0.500
Ir1 Ir 0.000 0.500 0.500
```

---

6.
# ZrNiIr2

An optimized crystal structure of ZrNiIr2 (PBE-GGA, Alexandria via LeMat-Bulk).

Structure (CIF):
```
data_ZrNiIr2
_chemical_formula_sum 'Zr1 Ni1 Ir2'
_cell_length_a 2.827
_cell_length_b 2.827
_cell_length_c 7.633
_cell_angle_alpha 90.00
_cell_angle_beta 90.00
_cell_angle_gamma 90.00
_space_group_name_H-M_alt 'P 4 m m'
_space_group_IT_number 99
_space_group_name_Hall 'P 4 -2'
loop_
_atom_site_label
_atom_site_type_symbol
_atom_site_fract_x
_atom_site_fract_y
_atom_site_fract_z
Zr1 Zr 0.000 0.000 0.000
Ni1 Ni 0.500 0.500 0.747
Ir1 Ir 0.000 0.000 0.527
Ir2 Ir 0.500 0.500 0.285
```

---

7.
# ZrNi2Ir2 (PBE-GGA, optimized geometry)
# ΔE to the lowest computed polymorph: 0.000 eV per atom
data_ZrNi2Ir2
_chemical_formula_sum 'Zr2 Ni4 Ir4'
_cell_length_a 7.170
_cell_length_b 7.170
_cell_length_c 2.808
_cell_angle_alpha 90.00
_cell_angle_beta 90.00
_cell_angle_gamma 90.00
_space_group_name_H-M_alt 'P 4/m b m'
_space_group_IT_number 127
_space_group_name_Hall '-P 4 2ab'
loop_
_atom_site_label
_atom_site_type_symbol
_atom_site_fract_x
_atom_site_fract_y
_atom_site_fract_z
Zr1 Zr 0.000 0.000 0.000
Ni1 Ni 0.123 0.377 0.000
Ir1 Ir 0.173 0.673 0.500

---

8.
# ZrNiIr2

An optimized crystal structure of ZrNiIr2 (PBE-GGA, Alexandria via LeMat-Bulk).

Structure (CIF):
```
data_ZrNiIr2
_chemical_formula_sum 'Zr4 Ni4 Ir8'
_cell_length_a 3.911
_cell_length_b 3.911
_cell_length_c 17.731
_cell_angle_alpha 90.00
_cell_angle_beta 90.00
_cell_angle_gamma 90.00
_space_group_name_H-M_alt 'I -4 2 d'
_space_group_IT_number 122
_space_group_name_Hall 'I -4 2bw'
loop_
_atom_site_label
_atom_site_type_symbol
_atom_site_fract_x
_atom_site_fract_y
_atom_site_fract_z
Zr1 Zr 0.000 0.000 0.000
Ni1 Ni 0.000 0.000 0.500
Ir1 Ir 0.199 0.250 0.625
```

---

Computed ΔE_f, in the same sequence as the records: -0.101; -0.163; -0.223; 0.529; 0.459; -0.125; -0.260; -0.086 eV/atom.
Computed total energy, in the same sequence as the records: -3.0152; -2.9487; -4.0588; -4.3826; -6.2060; -8.1378; -7.8261; -8.0989 eV/atom.